Record 1
Below is a relaxed structure of Pr2HoHgTe5, with properties calculated at the GGA-PBE level.

Summary:
**DOS(E_F)**: 0.3976 states/eV per atom
**Raw formation energy**: -1.1112 eV/atom
**Space group**: Cmc2_1

a = 4.3992 Å, b = 9.8219 Å, c = 13.5804 Å
α = 90.00°, β = 90.00°, γ = 102.94°
Atoms (fractional coordinates):
Pr1 0.8723 0.7446 0.8033
Pr2 0.1199 0.2397 0.6832
Pr3 0.1277 0.2554 0.3033
Pr4 0.8801 0.7603 0.1832
Ho1 0.8079 0.6158 0.5032
Ho2 0.1921 0.3842 0.0032
Hg1 0.5637 0.1274 0.9651
Hg2 0.4363 0.8726 0.4651
Te1 0.3541 0.7082 0.9982
Te2 0.7002 0.4004 0.8374
Te3 0.5024 0.0048 0.7787
Te4 0.2904 0.5808 0.6622
Te5 0.9587 0.9175 0.5927
Te6 0.6459 0.2918 0.4982
Te7 0.2998 0.5996 0.3374
Te8 0.4976 0.9952 0.2787
Te9 0.7096 0.4192 0.1622
Te10 0.0413 0.0825 0.0927

---

Record 2
Below is a relaxed structure of Ac3AsC, with properties calculated at the GGA-PBE level.

Summary:
**DOS(E_F)**: 0.7767 states/eV per atom
**ΔE_f**: -204 meV/atom
**Space group**: Pm-3m

a = 5.3599 Å, b = 5.3599 Å, c = 5.3599 Å
α = 90.00°, β = 90.00°, γ = 90.00°
Atoms (fractional coordinates):
C1 0.0000 0.0000 0.0000
Ac1 0.0000 0.5000 0.0000
Ac2 0.0000 0.0000 0.5000
Ac3 0.5000 0.0000 0.0000
As1 0.5000 0.5000 0.5000

---

Record 3
Below is a relaxed structure of La2HoH, with properties calculated at the GGA-PBE level.

Summary:
**DOS(E_F)**: 1.3300 states/eV per atom
**Energy above the lowest structure with this stoichiometry**: 0 meV/atom
**Space group**: R3m

a = 3.7015 Å, b = 3.7015 Å, c = 9.1757 Å
α = 78.36°, β = 78.36°, γ = 60.00°
Atoms (fractional coordinates):
La1 0.0562 0.0562 0.8315
La2 0.2759 0.2759 0.1723
Ho1 0.5007 0.5007 0.4980
H1 0.6673 0.6673 0.9982

---

Record 4
Below is a relaxed structure of YHg2Cl, with properties calculated at the GGA-PBE level.

Summary:
**DOS(E_F)**: 0.1653 states/eV per atom
**Raw formation energy**: -0.6681 eV/atom
**Energy above the lowest structure with this stoichiometry**: 42 meV/atom
**Space group**: Cmm2

a = 3.6068 Å, b = 3.6068 Å, c = 10.2962 Å
α = 90.00°, β = 90.00°, γ = 116.28°
Atoms (fractional coordinates):
Cl1 0.5000 0.5000 0.6882
Hg1 0.0000 0.0000 0.0366
Hg2 0.5000 0.5000 0.2717
Y1 0.0000 0.0000 0.5035

---

no.,density (Mg/m³)
1,7.5
2,8.3
3,7.0
4,7.3